Record 1
VASP calculation (PBE) on a relaxed Cs3AcTe3 crystal.

Properties
As for the density of states at the Fermi level: 0.000 states/eV per atom. The crystal system is monoclinic. Its total energy is -0.129 hartree per atom. The value obtained for the volume is 60.134 Å³/atom. Its space group is No. 12. As for the formation energy without anion corrections: -1203 meV/atom.

Cell lengths 9.9081, 9.9081, 9.5483 Å; angles 95.08, 95.08, 114.44 degrees
Closest atoms and distances in Å follow each position.
Element x y z (fractional)
Cs: 0.1783 0.8217 0.0000  4 Te 3.82-4.10
Cs: 0.2423 0.7577 0.5000  4 Te 3.91-4.28
Cs: 0.3782 0.3782 0.1267  3 Te 3.69-4.07, 1 Cs 3.84
Cs: 0.6218 0.6218 0.8733  3 Te 3.69-4.07, 1 Cs 3.84
Cs: 0.7577 0.2423 0.5000  4 Te 3.91-4.28
Cs: 0.8217 0.1783 0.0000  4 Te 3.82-4.10
Ac: 0.1910 0.1910 0.6362  4 Te 3.12-3.26
Ac: 0.8090 0.8090 0.3638  4 Te 3.12-3.26
Te: 0.0919 0.0919 0.2949  2 Ac 3.21-3.26
Te: 0.1714 0.4775 0.7782  1 Ac 3.12
Te: 0.4775 0.1714 0.7782  1 Ac 3.12
Te: 0.5225 0.8286 0.2218  1 Ac 3.12
Te: 0.8286 0.5225 0.2218  1 Ac 3.12
Te: 0.9081 0.9081 0.7051  2 Ac 3.21-3.26

=====

Record 2
VASP calculation (PBE) on a relaxed TmTaTc2 crystal.

Properties
As for the density of states at the Fermi level: 0.920 states/eV per atom. The crystal system is tetragonal. Its total energy is -0.345 hartree per atom. The value obtained for the volume is 17.478 Å³/atom. Its space group is No. 123. Its formation enthalpy at 0 K is -3.2 kcal/mol of atoms.

Cell lengths 4.6437, 4.6437, 3.2419 Å; angles 90.00, 90.00, 90.00 degrees
Closest atoms and distances in Å follow each position.
Element x y z (fractional)
Tm: 0.0000 0.0000 0.0000  8 Tc 2.83
Ta: 0.5000 0.5000 0.0000  8 Tc 2.83
Tc: 0.0000 0.5000 0.5000  4 Ta 2.83, 4 Tm 2.83
Tc: 0.5000 0.0000 0.5000  4 Ta 2.83, 4 Tm 2.83

=====

Record 3
VASP calculation (PBE) on a relaxed LiAgPb4 crystal.

Properties
For the offset from the most stable computed form, the calculation gives 0.000 eV per atom. As for the density of states at the Fermi level: 0.405 states/eV per atom. The crystal system is monoclinic. Its total energy is -0.120 hartree per atom. The value obtained for the volume is 26.680 Å³/atom. Its space group is No. 15. Its formation enthalpy at 0 K is -0.2 kcal/mol of atoms.

Cell lengths 8.0375, 8.0375, 6.0692 Å; angles 105.60, 105.60, 111.60 degrees
Closest atoms and distances in Å follow each position.
Element x y z (fractional)
Li: 0.0007 0.9993 0.7500  8 Pb 2.95-3.06, 2 Li 3.03
Li: 0.9993 0.0007 0.2500  8 Pb 2.95-3.06, 2 Li 3.03
Ag: 0.3705 0.6295 0.7500  8 Pb 3.04-3.18
Ag: 0.6295 0.3705 0.2500  8 Pb 3.04-3.18
Pb: 0.0622 0.6967 0.4106  2 Li 3.02, 2 Ag 3.08-3.16
Pb: 0.2277 0.3768 0.1967  2 Li 2.95-3.06, 2 Ag 3.04-3.18
Pb: 0.3033 0.9378 0.0894  2 Li 3.02, 2 Ag 3.08-3.16
Pb: 0.3768 0.2277 0.6967  2 Li 2.95-3.06, 2 Ag 3.04-3.18
Pb: 0.6232 0.7723 0.3033  2 Li 2.95-3.06, 2 Ag 3.04-3.18
Pb: 0.6967 0.0622 0.9106  2 Li 3.02, 2 Ag 3.08-3.16
Pb: 0.7723 0.6232 0.8033  2 Li 2.95-3.06, 2 Ag 3.04-3.18
Pb: 0.9378 0.3033 0.5894  2 Li 3.02, 2 Ag 3.08-3.16

=====

> volume of number 3 (LiAgPb4)?

26.680 Å³/atom

=====

Please write out number 1 again, unchanged.
VASP calculation (PBE) on a relaxed Cs3AcTe3 crystal.

Properties
As for the density of states at the Fermi level: 0.000 states/eV per atom. The crystal system is monoclinic. Its total energy is -0.129 hartree per atom. The value obtained for the volume is 60.134 Å³/atom. Its space group is No. 12. As for the formation energy without anion corrections: -1203 meV/atom.

Cell lengths 9.9081, 9.9081, 9.5483 Å; angles 95.08, 95.08, 114.44 degrees
Closest atoms and distances in Å follow each position.
Element x y z (fractional)
Cs: 0.1783 0.8217 0.0000  4 Te 3.82-4.10
Cs: 0.2423 0.7577 0.5000  4 Te 3.91-4.28
Cs: 0.3782 0.3782 0.1267  3 Te 3.69-4.07, 1 Cs 3.84
Cs: 0.6218 0.6218 0.8733  3 Te 3.69-4.07, 1 Cs 3.84
Cs: 0.7577 0.2423 0.5000  4 Te 3.91-4.28
Cs: 0.8217 0.1783 0.0000  4 Te 3.82-4.10
Ac: 0.1910 0.1910 0.6362  4 Te 3.12-3.26
Ac: 0.8090 0.8090 0.3638  4 Te 3.12-3.26
Te: 0.0919 0.0919 0.2949  2 Ac 3.21-3.26
Te: 0.1714 0.4775 0.7782  1 Ac 3.12
Te: 0.4775 0.1714 0.7782  1 Ac 3.12
Te: 0.5225 0.8286 0.2218  1 Ac 3.12
Te: 0.8286 0.5225 0.2218  1 Ac 3.12
Te: 0.9081 0.9081 0.7051  2 Ac 3.21-3.26

=====

> Look up the volume of the second one.

17.478 Å³/atom